# 1
Sb2PRh | PBE-GGA | relaxed

Structure (POSCAR):
```
Sb2PRh
1.0
3.116 0.000 0.000
0.000 3.116 0.000
0.000 0.000 8.485
Sb P Rh
2 1 1
direct
0.000 0.000 0.942 Sb
0.500 0.500 0.291 Sb
0.000 0.000 0.566 P
0.500 0.500 0.701 Rh
```

The value obtained for the formation energy (no corrections) is -0.027 eV/atom. As for the space group: No. 99. The total energy comes out at -21.11 eV per cell.

---

# 2
RbAgAs3 | PBE-GGA | relaxed

Structure (POSCAR):
```
RbAgAs3
1.0
5.661 0.000 0.000
0.000 5.661 0.000
0.000 0.000 5.661
As Rb Ag
3 1 1
direct
0.000 0.500 0.000 As
0.000 0.000 0.500 As
0.500 0.000 0.000 As
0.000 0.000 0.000 Rb
0.500 0.500 0.500 Ag
```

As for the space group: No. 221. The total energy comes out at -8.82 eV per cell. The energy above the most stable polymorph in this dataset comes out at 1334 meV/atom.

---

no.,total moment (Bohr magnetons per cell),density of states at the Fermi level (states/eV per cell)
1,0.000,1.4
2,0.000,9.6